Entry from Alexandria via LeMat-Bulk: TbTaBeN3 after structural relaxation (PBE).

```
TbTaBeN3
1.0
6.686 0.000 0.000
0.000 3.129 0.000
-1.655 0.000 6.576
Tb Ta Be N
2 2 2 6
Direct
0.188 0.250 0.217
0.812 0.750 0.783
0.340 0.750 0.833
0.660 0.250 0.167
0.082 0.250 0.598
0.918 0.750 0.402
0.116 0.250 0.857
0.177 0.750 0.523
0.439 0.750 0.164
0.561 0.250 0.836
0.823 0.250 0.477
0.884 0.750 0.143
```

Output
The magnetic moment comes out at 0.00 Bohr magnetons per cell. The formation energy from raw total energies is -1.249 eV per atom.

Entry from Alexandria via LeMat-Bulk: LaCeRh after structural relaxation (PBE).

```
LaCeRh
1.0
4.149 0.000 0.000
0.000 4.369 0.000
-0.894 0.000 8.405
La Ce Rh
2 2 2
Direct
0.223 0.250 0.356
0.777 0.750 0.644
0.297 0.750 0.021
0.703 0.250 0.979
0.252 0.250 0.727
0.748 0.750 0.273
```

Output
The magnetic moment comes out at 0.00 Bohr magnetons per cell. The calculation puts the distance to the lowest polymorph of the same formula at 23.8 meV/atom. The calculation puts the formation energy at -145 kJ/mol of formula units.

Entry from Alexandria via LeMat-Bulk: DyErNp2P4 after structural relaxation (PBE).

```
DyErNp2P4
1.0
6.871 0.000 0.000
0.000 3.967 0.000
-2.291 0.000 6.480
Dy Er Np P
1 1 2 4
Direct
0.000 0.000 0.000
0.000 0.500 0.500
0.500 0.000 0.500
0.500 0.500 0.000
0.255 0.000 0.750
0.256 0.500 0.253
0.744 0.500 0.747
0.745 0.000 0.250
```

Output
The magnetic moment comes out at 7.31 Bohr magnetons per cell. The calculation puts the formation energy at -956 kJ/mol of formula units.

Entry from Alexandria via LeMat-Bulk: SrCa2ScGa after structural relaxation (PBE).

```
SrCa2ScGa
1.0
5.766 0.000 0.000
0.000 5.766 0.000
0.000 0.000 6.037
Sr Ca Sc Ga
1 2 1 1
Direct
0.000 0.000 0.000
0.000 0.500 0.500
0.500 0.000 0.500
0.500 0.500 0.000
0.000 0.000 0.500
```

Output
The magnetic moment comes out at 1.87 Bohr magnetons per cell. The calculation puts the formation energy at 120 kJ/mol of formula units.